(1)
! Ba2UP2O10 PBE-GGA optimized geometry; values from VASP
! DFT total energy = -0.291 Ha/atom
! Formation energy from raw total energies = -2.872 eV per atom
! ΔE to the lowest computed polymorph = 0 meV/atom
&SYSTEM
  ibrav = 0, nat = 30, ntyp = 4
/
ATOMIC_SPECIES
Ba 137.33 Ba.upf
U 238.03 U.upf
P 30.97 P.upf
O 16.00 O.upf
ATOMIC_POSITIONS angstrom
Ba 0.6768 -0.4038 2.2616
Ba -1.0904 2.3324 7.0795
Ba 4.2147 2.9396 1.6657
Ba 2.4476 5.6757 6.4836
U 2.1187 -0.0698 6.2292
U 1.0057 5.3417 2.5161
P -1.3367 5.2289 4.6476
P 0.6642 2.4539 0.3473
P 2.4602 2.8180 8.3979
P 4.4611 0.0431 4.0976
O -0.5530 1.5087 0.3341
O -2.0897 4.1578 5.4271
O -1.4400 5.0596 3.0940
O 0.9580 -1.6955 5.0437
O 0.1882 3.8524 0.9303
O 0.2767 -0.2673 7.6037
O 1.1131 1.2666 5.4792
O 1.8269 1.8666 1.1410
O 0.2101 6.6592 1.5101
O 0.1995 5.2740 4.8845
O 2.9248 -0.0020 3.8607
O 2.9142 -1.3873 7.2352
O 1.2974 3.4053 7.6043
O 2.0112 4.0053 3.2661
O 2.8476 5.5393 1.1415
O 2.9361 1.4195 7.8149
O 2.1663 6.9675 3.7015
O 4.5643 0.2123 5.6512
O 5.2140 1.1141 3.3181
O 3.6774 3.7633 8.4111
CELL_PARAMETERS angstrom
6.8300 0.0000 0.0000
-2.9200 8.3232 0.0000
-0.7857 -3.0513 8.7452

(2)
! Ac12LaPr7 PBE-GGA optimized geometry; values from VASP
! DFT total energy = -0.158 Ha/atom
! ΔE to the lowest computed polymorph = 0 meV/atom
! ΔE_f = 0.087 eV per atom
&SYSTEM
  ibrav = 0, nat = 20, ntyp = 3
/
ATOMIC_SPECIES
Ac 227.00 Ac.upf
La 138.91 La.upf
Pr 140.91 Pr.upf
ATOMIC_POSITIONS angstrom
Ac -4.3488 -0.4626 3.3615
Ac -0.5037 -6.0072 3.2077
Ac -4.9505 3.4399 3.2077
Ac -5.4543 -2.5674 6.5441
Ac 2.5750 -3.5349 3.3615
Ac -1.7738 -3.9975 6.3903
Ac 1.7738 3.9975 3.3615
Ac -2.5750 3.5349 6.3903
Ac 5.4543 2.5674 3.2077
Ac 4.9505 -3.4399 6.5441
Ac 0.5037 6.0072 6.5441
Ac 4.3488 0.4626 6.3903
La 0.0000 0.0000 4.8759
Pr 0.0000 0.0000 0.0000
Pr -1.0365 -2.2942 2.9712
Pr -1.4686 2.0447 2.9712
Pr 2.5050 0.2495 2.9712
Pr -2.5050 -0.2495 6.7807
Pr 1.4686 -2.0447 6.7807
Pr 1.0365 2.2942 6.7807
CELL_PARAMETERS angstrom
8.5747 4.9506 3.2506
-8.5747 4.9506 3.2506
0.0000 -9.9012 3.2506

(3)
! Mg6VCr PBE-GGA optimized geometry; values from VASP
! DFT total energy = -0.119 Ha/atom
! ΔE to the lowest computed polymorph = 27 meV/atom
! ΔE_f = 0.306 eV per atom
&SYSTEM
  ibrav = 0, nat = 8, ntyp = 3
/
ATOMIC_SPECIES
Mg 24.30 Mg.upf
V 50.94 V.upf
Cr 52.00 Cr.upf
ATOMIC_POSITIONS angstrom
Mg 0.0000 0.0000 0.0000
Mg 0.0000 -1.5418 2.7805
Mg 0.0000 0.0000 5.3678
Mg 0.0000 1.5418 2.7805
Mg 2.4910 -1.5485 6.3566
Mg 2.4910 1.5485 6.3566
V 2.4910 0.0000 3.6648
Cr 2.4910 0.0000 9.0270
CELL_PARAMETERS angstrom
4.9819 0.0000 0.0000
0.0000 3.1048 5.3766
0.0000 -3.1048 5.3766

(4)
! ZrHIBr PBE-GGA optimized geometry; values from VASP
! DFT total energy = -0.164 Ha/atom
&SYSTEM
  ibrav = 0, nat = 4, ntyp = 4
/
ATOMIC_SPECIES
Zr 91.22 Zr.upf
H 1.01 H.upf
I 126.90 I.upf
Br 79.90 Br.upf
ATOMIC_POSITIONS angstrom
Zr 0.0000 0.0000 0.0000
H 0.0000 2.1415 7.9965
I 0.0000 0.0000 5.5923
Br 1.8546 1.0708 1.8450
CELL_PARAMETERS angstrom
3.7092 0.0000 0.0000
-1.8546 3.2123 0.0000
0.0000 0.0000 8.3029

(5)
! SiP PBE-GGA optimized geometry; values from VASP
! DFT total energy = -0.190 Ha/atom
! Formation energy from raw total energies = 0.238 eV per atom
&SYSTEM
  ibrav = 0, nat = 2, ntyp = 2
/
ATOMIC_SPECIES
Si 28.09 Si.upf
P 30.97 P.upf
ATOMIC_POSITIONS angstrom
Si 0.0000 0.0000 0.0000
P 4.0010 4.0010 4.0010
CELL_PARAMETERS angstrom
0.0000 2.6673 2.6673
2.6673 0.0000 2.6673
2.6673 2.6673 0.0000

(6)
! Ca2IrPdC PBE-GGA optimized geometry; values from VASP
! DFT total energy = -0.212 Ha/atom
! ΔE_f = -0.319 eV per atom
&SYSTEM
  ibrav = 0, nat = 5, ntyp = 4
/
ATOMIC_SPECIES
Ca 40.08 Ca.upf
Ir 192.22 Ir.upf
Pd 106.42 Pd.upf
C 12.01 C.upf
ATOMIC_POSITIONS angstrom
Ca 0.0000 2.5327 0.0000
Ca 2.5327 0.0000 0.0000
Ir 0.0000 0.0000 1.9197
Pd 2.5327 2.5327 1.9197
C 0.0000 0.0000 0.0000
CELL_PARAMETERS angstrom
5.0654 0.0000 0.0000
0.0000 5.0654 0.0000
0.0000 0.0000 3.8394

(7)
! Tb12PmSc6 PBE-GGA optimized geometry; values from VASP
! DFT total energy = -0.174 Ha/atom
! ΔE to the lowest computed polymorph = 184 meV/atom
! ΔE_f = 0.426 eV per atom
&SYSTEM
  ibrav = 0, nat = 19, ntyp = 3
/
ATOMIC_SPECIES
Tb 158.93 Tb.upf
Pm 145.00 Pm.upf
Sc 44.96 Sc.upf
ATOMIC_POSITIONS angstrom
Tb -2.8274 -3.5233 3.3143
Tb -4.4650 -0.6869 3.3143
Tb 0.0000 -1.8961 1.9432
Tb -1.6421 0.9481 1.9432
Tb 1.6421 0.9480 1.9432
Tb 2.8274 -3.5233 3.3143
Tb -1.6376 4.2102 3.3143
Tb 4.4650 -0.6869 3.3143
Tb 1.6376 4.2102 3.3143
Tb -1.6421 -0.9480 7.9998
Tb 1.6421 -0.9480 7.9998
Tb 0.0000 1.8961 7.9998
Pm 0.0000 0.0000 4.9715
Sc 0.0000 -4.9029 3.8382
Sc -4.2461 2.4515 3.8382
Sc -4.2461 -2.4515 6.1047
Sc 4.2461 2.4515 3.8382
Sc 4.2461 -2.4515 6.1048
Sc 0.0000 4.9029 6.1048
CELL_PARAMETERS angstrom
7.2923 4.2102 3.3143
-7.2923 4.2102 3.3143
0.0000 -8.4205 3.3143

(8)
! NaAlReH6 PBE-GGA optimized geometry; values from VASP
! DFT total energy = -0.156 Ha/atom
&SYSTEM
  ibrav = 0, nat = 9, ntyp = 4
/
ATOMIC_SPECIES
Na 22.99 Na.upf
Al 26.98 Al.upf
Re 186.21 Re.upf
H 1.01 H.upf
ATOMIC_POSITIONS angstrom
Na 0.0000 0.0000 0.0000
Al 4.3233 2.4501 2.4727
Re 2.1540 1.0742 2.4726
H 1.2975 1.9528 1.2645
H 1.3036 1.9653 3.6767
H 3.0320 1.9194 1.2605
H 3.0362 1.9103 3.6871
H 4.3141 3.8812 3.7603
H 4.3261 3.8808 1.1855
CELL_PARAMETERS angstrom
4.3379 0.0000 0.0000
2.1533 4.0192 0.0000
0.0006 0.0053 4.9480

(9)
! Al2ReNi PBE-GGA optimized geometry; values from VASP
! DFT total energy = -0.228 Ha/atom
! ΔE to the lowest computed polymorph = 602 meV/atom
! ΔE_f = 0.230 eV per atom
&SYSTEM
  ibrav = 0, nat = 8, ntyp = 3
/
ATOMIC_SPECIES
Al 26.98 Al.upf
Re 186.21 Re.upf
Ni 58.69 Ni.upf
ATOMIC_POSITIONS angstrom
Al 1.6503 1.4271 -0.6667
Al 1.8734 -1.6503 3.3336
Al 1.6503 1.8734 2.0002
Al 1.4271 4.9508 0.6667
Re 3.3005 0.0000 1.3335
Re 0.0000 0.0000 2.6669
Ni 0.0000 0.0000 0.0000
Ni 0.0000 3.3005 1.3335
CELL_PARAMETERS angstrom
-3.3005 3.3005 2.6669
3.3005 -3.3005 2.6669
3.3005 3.3005 -2.6669

(10)
! Ca2IBr3 PBE-GGA optimized geometry; values from VASP
! DFT total energy = -0.136 Ha/atom
! Formation energy from raw total energies = -1.936 eV per atom
&SYSTEM
  ibrav = 0, nat = 12, ntyp = 3
/
ATOMIC_SPECIES
Ca 40.08 Ca.upf
I 126.90 I.upf
Br 79.90 Br.upf
ATOMIC_POSITIONS angstrom
Ca 0.0000 0.0000 0.0000
Ca -2.1733 3.7643 0.0000
Ca 4.3466 0.0000 0.0000
Ca 2.1733 3.7643 0.0000
I 0.0000 5.0190 1.8922
I 4.3466 2.5095 5.3426
Br 0.0000 2.5221 5.7141
Br -2.1624 6.2675 5.7141
Br 2.1842 1.2611 1.5207
Br 2.1624 6.2675 5.7141
Br 6.5090 1.2611 1.5207
Br 4.3466 5.0064 1.5207
CELL_PARAMETERS angstrom
8.6932 0.0000 0.0000
-4.3466 7.5285 0.0000
0.0000 0.0000 7.2348

(11)
! RbEuHg4 PBE-GGA optimized geometry; values from VASP
! DFT total energy = -0.084 Ha/atom
! ΔE_f = -0.201 eV per atom
&SYSTEM
  ibrav = 0, nat = 6, ntyp = 3
/
ATOMIC_SPECIES
Rb 85.47 Rb.upf
Eu 151.96 Eu.upf
Hg 200.59 Hg.upf
ATOMIC_POSITIONS angstrom
Rb 0.0000 0.0000 0.0000
Eu 2.2436 2.2436 2.2436
Hg 5.6071 3.3674 3.3674
Hg 3.3674 5.6071 3.3674
Hg 3.3674 3.3674 5.6071
Hg 5.6071 5.6071 5.6071
CELL_PARAMETERS angstrom
0.0000 4.4872 4.4872
4.4872 0.0000 4.4872
4.4872 4.4872 0.0000

(12)
! Sc2BeNi PBE-GGA optimized geometry; values from VASP
! DFT total energy = -0.211 Ha/atom
! ΔE_f = -0.190 eV per atom
&SYSTEM
  ibrav = 0, nat = 4, ntyp = 3
/
ATOMIC_SPECIES
Sc 44.96 Sc.upf
Be 9.01 Be.upf
Ni 58.69 Ni.upf
ATOMIC_POSITIONS angstrom
Sc 0.0000 0.0000 0.0000
Sc 0.0000 0.0000 3.0881
Be 0.0000 0.0000 7.1928
Ni 0.0000 0.0000 12.9256
CELL_PARAMETERS angstrom
1.9115 1.1036 5.6742
-1.9115 1.1036 5.6742
0.0000 -2.2073 5.6742